1.
Computed, not measured: a relaxed ScMoIr2 crystal at the PBE level of DFT.

Properties
- Magnetization: 0.00 Bohr magnetons per cell
- Calculated total energy: -0.6766 Ry per atom
- ΔE to the lowest computed polymorph: 0.78 kcal/mol of atoms
- Space group: No. 6
- DFT formation energy: -485 meV/atom
- Calculated density: 13.57 g/cm3

Lattice parameters (Å, degrees): 4.565 2.887 4.916 82.93 90.00 90.00
Fractional positions:
Sc: 0.500 0.703 0.823
Ir: 0.500 0.097 0.305
Mo: 0.000 0.531 0.434
Ir: 0.000 0.168 0.938


2.
Computed, not measured: a relaxed SrCd3Ga3 crystal at the PBE level of DFT.

Properties
- Magnetization: 0.00 Bohr magnetons per cell
- Calculated total energy: -0.1352 Ry per atom
- ΔE to the lowest computed polymorph: 7.26 kcal/mol of atoms
- Space group: No. 223
- DFT formation energy: 90 meV/atom
- Calculated density: 4.97 g/cm3

Lattice parameters (Å, degrees): 7.512 7.512 7.512 90.00 90.00 90.00
Fractional positions:
Sr: 0.500 0.500 0.500
Ga: 0.750 0.500 0.000
Ga: 0.500 0.000 0.750
Ga: 0.250 0.500 0.000
Cd: 0.750 0.000 0.500
Ga: 0.000 0.750 0.500
Ga: 0.000 0.250 0.500
Cd: 0.500 0.250 0.000
Sr: 0.000 0.000 0.000
Cd: 0.000 0.500 0.750
Cd: 0.250 0.000 0.500
Cd: 0.500 0.750 0.000
Cd: 0.000 0.500 0.250
Ga: 0.500 0.000 0.250


3.
Computed, not measured: a relaxed SbN2O2 crystal at the PBE level of DFT.

Properties
- Magnetization: 1.01 Bohr magnetons per cell
- Calculated total energy: -0.3665 Ry per atom
- Formation energy from raw total energies: 1151 meV per atom
- ΔE to the lowest computed polymorph: 39.85 kcal/mol of atoms
- Space group: No. 123
- Calculated density: 4.56 g/cm3

Lattice parameters (Å, degrees): 3.871 3.871 4.418 90.00 90.00 90.00
Last column: magnetic moment on the atom in μB.
Fractional positions:
O: 0.000 0.500 0.000  0.03
N: 0.000 0.000 0.500  -1.11
O: 0.500 0.000 0.000  0.03
N: 0.500 0.500 0.500  1.75
Sb: 0.000 0.000 0.000  0.03